# 1
Computed, not measured: a relaxed structure of TbUP2Rh5 at the GGA-PBE level of DFT. Values from VASP.

```
&SYSTEM
  ibrav = 0, nat = 9, ntyp = 4
/
ATOMIC_SPECIES
Tb 158.93 Tb.upf
U 238.03 U.upf
P 30.97 P.upf
Rh 102.91 Rh.upf
ATOMIC_POSITIONS crystal
Tb 0.0000 0.0000 0.0000
U 0.5000 0.5000 0.5000
P 0.5000 0.5000 0.2079
P 0.5000 0.5000 0.7921
Rh 0.0000 0.5000 0.3257
Rh 0.0000 0.5000 0.6743
Rh 0.5000 0.0000 0.3257
Rh 0.5000 0.0000 0.6743
Rh 0.5000 0.5000 0.0000
CELL_PARAMETERS angstrom
3.9750 0.0000 0.0000
0.0000 3.9750 0.0000
0.0000 0.0000 10.8096
```

ΔE_f: -471 kJ/mol of formula units
spin magnetization: 0.00 Bohr magnetons per cell
electronic total energy: -0.5584 Ry per atom

***

# 2
Computed, not measured: a relaxed structure of TbYP2Rh5 at the GGA-PBE level of DFT. Values from VASP.

```
&SYSTEM
  ibrav = 0, nat = 9, ntyp = 4
/
ATOMIC_SPECIES
Tb 158.93 Tb.upf
Y 88.91 Y.upf
P 30.97 P.upf
Rh 102.91 Rh.upf
ATOMIC_POSITIONS crystal
Tb 0.0000 0.0000 0.0000
Y 0.0000 0.0000 0.5000
P 0.5000 0.5000 0.2082
P 0.5000 0.5000 0.7918
Rh 0.0000 0.5000 0.3030
Rh 0.0000 0.5000 0.6970
Rh 0.5000 0.0000 0.3030
Rh 0.5000 0.0000 0.6970
Rh 0.5000 0.5000 0.0000
CELL_PARAMETERS angstrom
4.0133 0.0000 0.0000
0.0000 4.0133 0.0000
0.0000 0.0000 10.8626
```

ΔE_f: -640 kJ/mol of formula units
spin magnetization: 0.00 Bohr magnetons per cell
electronic total energy: -0.5333 Ry per atom

***

# 3
Computed, not measured: a relaxed structure of Tb3ZnP2Rh9 at the GGA-PBE level of DFT. Values from VASP.

```
&SYSTEM
  ibrav = 0, nat = 15, ntyp = 4
/
ATOMIC_SPECIES
Tb 158.93 Tb.upf
Zn 65.41 Zn.upf
P 30.97 P.upf
Rh 102.91 Rh.upf
ATOMIC_POSITIONS crystal
Tb 0.0000 0.0000 0.0000
Tb 0.3333 0.6667 0.6519
Tb 0.6667 0.3333 0.3481
Zn 0.0000 0.0000 0.5000
P 0.3333 0.6667 0.1641
P 0.6667 0.3333 0.8359
Rh 0.0000 0.5000 0.0000
Rh 0.1633 0.3267 0.3054
Rh 0.1633 0.8367 0.3054
Rh 0.3267 0.1633 0.6946
Rh 0.5000 0.0000 0.0000
Rh 0.5000 0.5000 0.0000
Rh 0.6733 0.8367 0.3054
Rh 0.8367 0.1633 0.6946
Rh 0.8367 0.6733 0.6946
CELL_PARAMETERS angstrom
6.1897 0.0000 0.0000
-3.0948 5.3604 0.0000
0.0000 0.0000 8.1299
```

ΔE_f: -857 kJ/mol of formula units
spin magnetization: 0.00 Bohr magnetons per cell
electronic total energy: -0.4950 Ry per atom

***

# 4
Computed, not measured: a relaxed structure of TcP2Rh at the GGA-PBE level of DFT. Values from VASP.

```
&SYSTEM
  ibrav = 0, nat = 4, ntyp = 3
/
ATOMIC_SPECIES
Tc 98.00 Tc.upf
P 30.97 P.upf
Rh 102.91 Rh.upf
ATOMIC_POSITIONS crystal
Tc 0.0000 0.0000 0.0000
P 0.0000 0.5000 0.5000
P 0.5000 0.5000 0.0000
Rh 0.5000 0.0000 0.5000
CELL_PARAMETERS angstrom
3.0283 0.0000 0.0000
0.0000 3.7452 0.0000
0.0000 0.0000 4.9994
```

ΔE_f: 23 kJ/mol of formula units
spin magnetization: 0.00 Bohr magnetons per cell
electronic total energy: -0.5199 Ry per atom

***

# 5
Computed, not measured: a relaxed structure of Tc2PRh at the GGA-PBE level of DFT. Values from VASP.

```
&SYSTEM
  ibrav = 0, nat = 4, ntyp = 3
/
ATOMIC_SPECIES
Tc 98.00 Tc.upf
P 30.97 P.upf
Rh 102.91 Rh.upf
ATOMIC_POSITIONS crystal
Tc 0.0000 0.0000 0.0000
Tc 0.5000 0.5000 0.0000
P 0.0000 0.5000 0.5000
Rh 0.5000 0.0000 0.5000
CELL_PARAMETERS angstrom
3.0869 0.0000 0.0000
0.0000 4.1371 0.0000
0.0000 0.0000 4.4143
```

ΔE_f: 51 kJ/mol of formula units
spin magnetization: 0.00 Bohr magnetons per cell
electronic total energy: -0.6057 Ry per atom

***

# 6
Computed, not measured: a relaxed structure of TcPRh at the GGA-PBE level of DFT. Values from VASP.

```
&SYSTEM
  ibrav = 0, nat = 3, ntyp = 3
/
ATOMIC_SPECIES
Tc 98.00 Tc.upf
P 30.97 P.upf
Rh 102.91 Rh.upf
ATOMIC_POSITIONS crystal
Tc 0.0000 0.0000 0.0000
P 0.2500 0.2500 0.2500
Rh 0.5000 0.5000 0.5000
CELL_PARAMETERS angstrom
0.0000 2.7963 2.7963
2.7963 0.0000 2.7963
2.7963 2.7963 0.0000
```

ΔE_f: -124 kJ/mol of formula units
spin magnetization: 0.00 Bohr magnetons per cell
electronic total energy: -0.5981 Ry per atom

***

# 7
Computed, not measured: a relaxed structure of Tc2PRh at the GGA-PBE level of DFT. Values from VASP.

```
&SYSTEM
  ibrav = 0, nat = 4, ntyp = 3
/
ATOMIC_SPECIES
Tc 98.00 Tc.upf
P 30.97 P.upf
Rh 102.91 Rh.upf
ATOMIC_POSITIONS crystal
Tc 0.2119 0.2119 0.0000
Tc 0.7881 0.7881 0.0000
P 0.0000 0.5000 0.5000
Rh 0.5000 0.0000 0.5000
CELL_PARAMETERS angstrom
-1.4430 2.1606 4.4287
1.4430 -2.1606 4.4287
1.4430 2.1606 -4.4287
```

ΔE_f: -104 kJ/mol of formula units
spin magnetization: 0.00 Bohr magnetons per cell
electronic total energy: -0.6352 Ry per atom

***

# 8
Computed, not measured: a relaxed structure of Tc2PRh at the GGA-PBE level of DFT. Values from VASP.

```
&SYSTEM
  ibrav = 0, nat = 4, ntyp = 3
/
ATOMIC_SPECIES
Tc 98.00 Tc.upf
P 30.97 P.upf
Rh 102.91 Rh.upf
ATOMIC_POSITIONS crystal
Tc 0.0000 0.0000 0.0000
Tc 0.7500 0.2500 0.5000
P 0.2500 0.7500 0.5000
Rh 0.5000 0.5000 0.0000
CELL_PARAMETERS angstrom
-1.9003 1.9003 3.7917
1.9003 -1.9003 3.7917
1.9003 1.9003 -3.7917
```

ΔE_f: -12 kJ/mol of formula units
spin magnetization: 0.00 Bohr magnetons per cell
electronic total energy: -0.6176 Ry per atom

***

# 9
Computed, not measured: a relaxed structure of TcP2Rh at the GGA-PBE level of DFT. Values from VASP.

```
&SYSTEM
  ibrav = 0, nat = 4, ntyp = 3
/
ATOMIC_SPECIES
Tc 98.00 Tc.upf
P 30.97 P.upf
Rh 102.91 Rh.upf
ATOMIC_POSITIONS crystal
Tc 0.0000 0.0000 0.0000
P 0.4885 0.4885 0.4885
P 0.7389 0.7389 0.7389
Rh 0.2261 0.2261 0.2261
CELL_PARAMETERS angstrom
1.4937 0.8624 7.3351
-1.4937 0.8624 7.3351
0.0000 -1.7248 7.3351
```

ΔE_f: -67 kJ/mol of formula units
spin magnetization: 0.00 Bohr magnetons per cell
electronic total energy: -0.5371 Ry per atom

***

# 10
Computed, not measured: a relaxed structure of TcP2Rh at the GGA-PBE level of DFT. Values from VASP.

```
&SYSTEM
  ibrav = 0, nat = 4, ntyp = 3
/
ATOMIC_SPECIES
Tc 98.00 Tc.upf
P 30.97 P.upf
Rh 102.91 Rh.upf
ATOMIC_POSITIONS crystal
Tc 0.0000 0.0000 0.0000
P 0.2500 0.2500 0.2500
P 0.7500 0.7500 0.7500
Rh 0.5000 0.5000 0.5000
CELL_PARAMETERS angstrom
0.0000 2.9778 2.9778
2.9778 0.0000 2.9778
2.9778 2.9778 0.0000
```

ΔE_f: -87 kJ/mol of formula units
spin magnetization: 0.00 Bohr magnetons per cell
electronic total energy: -0.5409 Ry per atom

***

# 11
Computed, not measured: a relaxed structure of Tc2PRh at the GGA-PBE level of DFT. Values from VASP.

```
&SYSTEM
  ibrav = 0, nat = 4, ntyp = 3
/
ATOMIC_SPECIES
Tc 98.00 Tc.upf
P 30.97 P.upf
Rh 102.91 Rh.upf
ATOMIC_POSITIONS crystal
Tc 0.2500 0.7500 0.5000
Tc 0.7500 0.2500 0.5000
P 0.0000 0.0000 0.0000
Rh 0.5000 0.5000 0.0000
CELL_PARAMETERS angstrom
-1.9208 1.9208 3.7202
1.9208 -1.9208 3.7202
1.9208 1.9208 -3.7202
```

ΔE_f: 9 kJ/mol of formula units
spin magnetization: 0.00 Bohr magnetons per cell
electronic total energy: -0.6137 Ry per atom

***

# 12
Computed, not measured: a relaxed structure of Tc2PRh at the GGA-PBE level of DFT. Values from VASP.

```
&SYSTEM
  ibrav = 0, nat = 4, ntyp = 3
/
ATOMIC_SPECIES
Tc 98.00 Tc.upf
P 30.97 P.upf
Rh 102.91 Rh.upf
ATOMIC_POSITIONS crystal
Tc 0.0000 0.0000 0.0000
Tc 0.5000 0.5000 0.2725
P 0.5000 0.5000 0.7938
Rh 0.0000 0.0000 0.5704
CELL_PARAMETERS angstrom
2.8461 0.0000 0.0000
0.0000 2.8461 0.0000
0.0000 0.0000 6.7535
```

ΔE_f: -93 kJ/mol of formula units
spin magnetization: 0.00 Bohr magnetons per cell
electronic total energy: -0.6331 Ry per atom

***

# 13
Computed, not measured: a relaxed structure of TcP2Rh at the GGA-PBE level of DFT. Values from VASP.

```
&SYSTEM
  ibrav = 0, nat = 4, ntyp = 3
/
ATOMIC_SPECIES
Tc 98.00 Tc.upf
P 30.97 P.upf
Rh 102.91 Rh.upf
ATOMIC_POSITIONS crystal
Tc 0.0000 0.0000 0.0000
P 0.1678 0.6678 0.5000
P 0.4121 0.4121 0.0000
Rh 0.7450 0.2450 0.5000
CELL_PARAMETERS angstrom
-1.5317 1.7029 5.3929
1.5317 -1.7029 5.3929
1.5317 1.7029 -5.3929
```

ΔE_f: -158 kJ/mol of formula units
spin magnetization: 0.00 Bohr magnetons per cell
electronic total energy: -0.5544 Ry per atom

***

# 14
Computed, not measured: a relaxed structure of Tc2PRh at the GGA-PBE level of DFT. Values from VASP.

```
&SYSTEM
  ibrav = 0, nat = 4, ntyp = 3
/
ATOMIC_SPECIES
Tc 98.00 Tc.upf
P 30.97 P.upf
Rh 102.91 Rh.upf
ATOMIC_POSITIONS crystal
Tc 0.0000 0.0000 0.0000
Tc 0.7216 0.7216 0.7525
P 0.2561 0.2561 0.1628
Rh 0.4465 0.4465 0.5039
CELL_PARAMETERS angstrom
4.5479 -1.4202 0.0000
4.5479 1.4202 0.0000
-0.0723 0.0000 4.4945
```

ΔE_f: -38 kJ/mol of formula units
spin magnetization: 0.00 Bohr magnetons per cell
electronic total energy: -0.6226 Ry per atom